Record 1
The following is a DFT calculation (PBE) of a geometry-optimized CePm3Ho2Se6 structure.

```
CePm3Ho2Se6
1.0
9.050 -2.062 0.000
9.050 2.062 0.000
-1.947 0.000 8.136
Ce Pm Ho Se
1 3 2 6
direct
0.000 0.000 0.000
0.000 0.000 0.500
0.336 0.336 0.166
0.664 0.664 0.834
0.335 0.335 0.670
0.665 0.665 0.330
0.168 0.168 0.093
0.170 0.170 0.576
0.496 0.496 0.747
0.504 0.504 0.253
0.830 0.830 0.424
0.832 0.832 0.907
```

Computed properties:
Total magnetic moment   0.09 μB/atom
Space group   C2/m
ΔE_f (raw)   -1.799 eV/atom

Record 2
The following is a DFT calculation (PBE) of a geometry-optimized HgSeN2 structure.

```
HgSeN2
1.0
3.600 0.000 0.000
-1.800 3.118 0.000
0.000 0.000 18.197
Hg Se N
3 3 6
direct
0.000 0.000 0.000
0.333 0.667 0.667
0.667 0.333 0.333
0.000 0.000 0.500
0.333 0.667 0.167
0.667 0.333 0.833
0.000 0.000 0.400
0.000 0.000 0.600
0.333 0.667 0.066
0.333 0.667 0.267
0.667 0.333 0.733
0.667 0.333 0.934
```

Computed properties:
Total magnetic moment   0.00 μB/atom
Space group   R-3m
ΔE_f (raw)   1.403 eV/atom

What is the formula in the second record?
HgSeN2